a) Computed, not measured: TcIr2W at its PBEsol-relaxed geometry at the meta-GGA SCAN level of DFT.

Lattice parameters (Å, degrees): 3.842 3.842 3.879 90.00 90.00 90.00
Atoms (fractional coordinates):
Ir (0.000, 0.500, 0.000)
Ir (0.500, 0.000, 0.000)
Tc (0.500, 0.500, 0.500)
W (0.000, 0.000, 0.500)

Values from the calculation:
size of the total moment	0.00	μB per formula unit

=====

b) Computed, not measured: TcIr2W at its PBEsol-relaxed geometry at the meta-GGA SCAN level of DFT.

Lattice parameters (Å, degrees): 3.841 3.841 4.740 113.90 113.90 90.00
Atoms (fractional coordinates):
Tc (0.500, 0.500, 0.000)
Ir (0.250, 0.750, 0.500)
Ir (0.750, 0.250, 0.500)
W (0.000, 0.000, 0.000)

Values from the calculation:
size of the total moment	0.00	μB per formula unit

=====

a) (0.008 eV/atom below the next structure)

=====

a) Computed, not measured: TcIr2W at its PBEsol-relaxed geometry at the meta-GGA SCAN level of DFT.

Lattice parameters (Å, degrees): 4.361 4.361 4.361 60.00 60.00 60.00
Atoms (fractional coordinates):
Ir (0.750, 0.750, 0.750)
Ir (0.000, 0.000, 0.000)
W (0.250, 0.250, 0.250)
Tc (0.500, 0.500, 0.500)

Values from the calculation:
size of the total moment	0.00	μB per formula unit

=====

b) Computed, not measured: TcIr2W at its PBEsol-relaxed geometry at the meta-GGA SCAN level of DFT.

Lattice parameters (Å, degrees): 2.722 4.736 4.736 110.08 90.00 90.00
Atoms (fractional coordinates):
W (0.500, 0.500, 0.500)
Tc (0.500, 0.000, 0.000)
Ir (0.000, 0.000, 0.500)
Ir (0.000, 0.500, 0.000)

Values from the calculation:
size of the total moment	0.00	μB per formula unit

=====

b) (0.546 eV/atom below the next structure)

=====

a) Computed, not measured: TcIr2W at its PBEsol-relaxed geometry at the meta-GGA SCAN level of DFT.

Lattice parameters (Å, degrees): 2.732 4.382 4.779 90.00 90.00 90.00
Atoms (fractional coordinates):
Ir (0.000, 0.500, 0.700)
Ir (0.000, 0.000, 0.042)
W (0.500, 0.500, 0.211)
Tc (0.500, 0.000, 0.546)

Values from the calculation:
size of the total moment	0.00	μB per formula unit

=====

b) Computed, not measured: TcIr2W at its PBEsol-relaxed geometry at the meta-GGA SCAN level of DFT.

Lattice parameters (Å, degrees): 2.720 3.873 5.445 90.00 90.00 90.00
Atoms (fractional coordinates):
Ir (0.000, 0.000, 0.245)
Ir (0.000, 0.000, 0.755)
Tc (0.500, 0.500, 0.000)
W (0.500, 0.500, 0.500)

Values from the calculation:
size of the total moment	0.00	μB per formula unit

=====

a) (0.101 eV/atom below the next structure)

=====

a) Computed, not measured: YTc2Ir at its PBEsol-relaxed geometry at the meta-GGA SCAN level of DFT.

Lattice parameters (Å, degrees): 3.431 4.293 5.235 114.20 109.13 90.00
Atoms (fractional coordinates):
Ir (0.000, 0.500, 0.000)
Y (0.500, 0.000, 0.000)
Tc (0.252, 0.252, 0.505)
Tc (0.748, 0.748, 0.495)

Values from the calculation:
size of the total moment	0.00	μB per formula unit

=====

b) Computed, not measured: YTc2Ir at its PBEsol-relaxed geometry at the meta-GGA SCAN level of DFT.

Lattice parameters (Å, degrees): 2.778 5.011 5.011 112.94 90.00 90.00
Atoms (fractional coordinates):
Tc (0.000, 0.000, 0.500)
Tc (0.000, 0.500, 0.000)
Y (0.500, 0.000, 0.000)
Ir (0.500, 0.500, 0.500)

Values from the calculation:
size of the total moment	0.00	μB per formula unit

=====

a) (0.124 eV/atom below the next structure)

=====

a) Computed, not measured: TlIr4 at its PBEsol-relaxed geometry at the meta-GGA SCAN level of DFT.

Lattice parameters (Å, degrees): 3.926 4.840 4.840 80.53 66.07 66.07
Atoms (fractional coordinates):
Tl (0.000, 0.000, 0.000)
Ir (0.186, 0.412, 0.215)
Ir (0.598, 0.215, 0.588)
Ir (0.402, 0.785, 0.412)
Ir (0.814, 0.588, 0.785)

Values from the calculation:
size of the total moment	0.00	μB per formula unit

=====

b) Computed, not measured: TlIr4 at its PBEsol-relaxed geometry at the meta-GGA SCAN level of DFT.

Lattice parameters (Å, degrees): 5.035 5.035 5.035 109.47 109.47 109.47
Atoms (fractional coordinates):
Ir (0.500, 0.000, 0.000)
Ir (0.000, 0.000, 0.500)
Ir (0.500, 0.500, 0.500)
Ir (0.000, 0.500, 0.000)
Tl (0.000, 0.000, 0.000)

Values from the calculation:
size of the total moment	0.01	μB per formula unit

=====

a) (1.677 eV/atom below the next structure)

=====

a) Computed, not measured: TlIrW2 at its PBEsol-relaxed geometry at the meta-GGA SCAN level of DFT.

Lattice parameters (Å, degrees): 2.829 2.829 8.394 90.00 90.00 90.12
Atoms (fractional coordinates):
W (0.500, 0.500, 0.732)
W (0.000, 0.000, 0.982)
Ir (0.000, 0.000, 0.527)
Tl (0.500, 0.500, 0.259)

Values from the calculation:
size of the total moment	0.00	μB per formula unit

=====

b) Computed, not measured: TlIrW2 at its PBEsol-relaxed geometry at the meta-GGA SCAN level of DFT.

Lattice parameters (Å, degrees): 4.050 4.050 4.910 114.36 114.36 90.00
Atoms (fractional coordinates):
W (0.000, 0.000, 0.000)
W (0.750, 0.250, 0.500)
Tl (0.250, 0.750, 0.500)
Ir (0.500, 0.500, 0.000)

Values from the calculation:
size of the total moment	0.00	μB per formula unit

=====

a) (0.230 eV/atom below the next structure)